Record 1
DFT (PBE) results for a relaxed structure of CePm5Sm6.

The structure belongs to space group C2/m (No. 12); the cell edges are 16.2328, 10.2726 and 5.1332 Å and the angles 90.00°, 108.39° and 90.00°. Symmetry generates all atoms from Ce at (0.0000, 0.0000, 0.0000), Pm at (0.0000, 0.5000, 0.0000), Pm at (0.1649, 0.0000, 0.6648), Pm at (0.1669, 0.5000, 0.6669), Sm at (0.0000, 0.2470, 0.5000) and Sm at (0.1653, 0.2483, 0.1654).

The calculation puts the calculated volume at 812.2 Å³ per cell. For the formation enthalpy at 0 K, the calculation gives 0.035 eV/atom. As for the density of states at the Fermi level: 1.752 states/eV/atom.



Record 2
DFT (PBE) results for a relaxed structure of NdHoHf.

The structure belongs to space group P4/nmm (No. 129, origin choice 2); the cell edges are 3.7577, 3.7577 and 12.7306 Å and the angles 90.00°, 90.00° and 90.00°. Symmetry generates all atoms from Nd at (0.2500, 0.2500, 0.0979), Ho at (0.2500, 0.2500, 0.7016) and Hf at (0.2500, 0.2500, 0.4487).

The value obtained for the offset from the most stable computed form is 0 meV per atom. The calculation puts the calculated volume at 179.8 Å³ per cell. For the formation enthalpy at 0 K, the calculation gives 0.112 eV/atom. As for the density of states at the Fermi level: 1.402 states/eV/atom.



Record 3
DFT (PBE) results for a relaxed structure of Cu2BrCl3.

The structure belongs to space group C2/m (No. 12); the cell edges are 18.4965, 3.3603 and 12.3887 Å and the angles 90.00°, 124.60° and 90.00°. Symmetry generates all atoms from Cu at (0.1209, 0.0000, 0.3734), Cu at (0.1318, 0.5000, 0.8807), Br at (0.0601, 0.5000, 0.4408), Cl at (0.0657, 0.0000, 0.9203), Cl at (0.1768, 0.5000, 0.3203) and Cl at (0.1939, 0.0000, 0.8326).

The formation energy (no corrections) comes out at -0.44 eV per atom. The calculation puts the calculated volume at 633.8 Å³ per cell. As for the density of states at the Fermi level: 0.496 states/eV/atom.



Q: Which value of calculated volume does entry 1 give?
A: 812.2 Å³ per cell



Q: Number 1 is which compound?
A: CePm5Sm6



Q: The lowest calculated volume belongs to which entry?
A: NdHoHf